--- w ---
First-principles (PBE) data for a relaxed structure of BaCa2YPd, as listed in the Alexandria database.

```
data_BaCa2YPd
_chemical_formula_sum 'Ba1 Ca2 Y1 Pd1'
_cell_length_a 5.692
_cell_length_b 5.692
_cell_length_c 6.071
_cell_angle_alpha 90.00
_cell_angle_beta 90.00
_cell_angle_gamma 90.00
_space_group_name_H-M_alt 'P 4/m m m'
_space_group_IT_number 123
_space_group_name_Hall '-P 4 2'
loop_
_atom_site_label
_atom_site_type_symbol
_atom_site_fract_x
_atom_site_fract_y
_atom_site_fract_z
Ba1 Ba 0.000 0.000 0.000
Ca1 Ca 0.000 0.500 0.500
Y1 Y 0.500 0.500 0.000
Pd1 Pd 0.000 0.000 0.500
```

--- x ---
First-principles (PBE) data for a relaxed structure of BaCa2YPd, as listed in the Alexandria database.

```
data_BaCa2YPd
_chemical_formula_sum 'Ba1 Ca2 Y1 Pd1'
_cell_length_a 5.832
_cell_length_b 5.832
_cell_length_c 5.547
_cell_angle_alpha 90.00
_cell_angle_beta 90.00
_cell_angle_gamma 90.00
_space_group_name_H-M_alt 'P 4/m m m'
_space_group_IT_number 123
_space_group_name_Hall '-P 4 2'
loop_
_atom_site_label
_atom_site_type_symbol
_atom_site_fract_x
_atom_site_fract_y
_atom_site_fract_z
Ba1 Ba 0.000 0.000 0.000
Ca1 Ca 0.000 0.500 0.500
Y1 Y 0.500 0.500 0.000
Pd1 Pd 0.500 0.500 0.500
```

The calculated energies rank the structures as follows, beginning with the most stable: x, w.